TaSnRu2 after structural relaxation. Source: Alexandria via LeMat-Bulk, functional PBE.

Values from the calculation:
**D(E_F)**: 0.485 states/eV/atom
**SG**: P4/mmm
**Volume**: 65.3 Å³ per cell
**Formation energy from the elements**: -0.226 eV/atom

abc: 3.4188 4.3719 4.3719
angles: 90.00 90.00 90.00
With the nearest neighbours (Å) after each atom.
Atoms (fractional coordinates):
Ta1 0.5000 0.5000 0.5000  8 Ru 2.77, 4 Sn 3.09
Ru1 0.0000 0.5000 0.0000  4 Sn 2.77, 4 Ta 2.77, 4 Ru 3.09
Ru2 0.0000 0.0000 0.5000  4 Ta 2.77, 4 Sn 2.77, 4 Ru 3.09
Sn1 0.5000 0.0000 0.0000  8 Ru 2.77, 4 Ta 3.09